Compound: RbZn2Pd
Source: the Alexandria database
Functional: GGA-PBEsol
Structure: optimized geometry

Results
Total energy in eV per cell: -8.60
Space group: Fm-3m (225)
Energy of formation in eV/atom: 0.387
Mass density in g/cm3: 6.397
Density of states at the Fermi level in states/eV/cell: 1.6
Crystal system: cubic

a b c (Å): 4.911 4.911 4.911
angles (deg): 60.00 60.00 60.00
Fractional positions:
Rb 0.000 0.000 0.000
Zn 0.250 0.250 0.250
Zn 0.750 0.750 0.750
Pd 0.500 0.500 0.500

Compound: MnInAu2
Source: the Alexandria database
Functional: GGA-PBEsol
Structure: optimized geometry

Results
Total energy in eV per cell: -19.94
Space group: R3m (160)
Energy of formation in eV/atom: 0.163
Mass density in g/cm3: 13.302
Density of states at the Fermi level in states/eV/cell: 2.0
Crystal system: trigonal

a b c (Å): 8.921 8.921 8.921
angles (deg): 19.67 19.67 19.67
Fractional positions:
Mn 0.000 0.000 0.000
In 0.751 0.751 0.751
Au 0.258 0.258 0.258
Au 0.505 0.505 0.505

Compound: LiTiSeI2
Source: the Alexandria database
Functional: GGA-PBEsol
Structure: optimized geometry

Results
Total energy in eV per cell: -16.70
Space group: P4/mmm (123)
Mass density in g/cm3: 3.693
Density of states at the Fermi level in states/eV/cell: 5.0
Crystal system: tetragonal
E_form (uncorrected) in meV/atom: 195

a b c (Å): 5.228 5.228 6.375
angles (deg): 90.00 90.00 90.00
Fractional positions:
Li 0.000 0.000 0.000
Ti 0.000 0.000 0.500
Se 0.500 0.500 0.000
I 0.000 0.500 0.500
I 0.500 0.000 0.500

Compound: Al2AgAu
Source: the Alexandria database
Functional: GGA-PBEsol
Structure: optimized geometry

Results
Total energy in eV per cell: -30.34
Space group: I-42d (122)
Energy of formation in eV/atom: 0.062
Mass density in g/cm3: 8.217
Density of states at the Fermi level in states/eV/cell: 3.4
Crystal system: tetragonal

a b c (Å): 5.838 5.838 5.838
angles (deg): 102.48 102.48 124.60
Fractional positions:
Al 0.107 0.125 0.482
Al 0.375 0.893 0.018
Al 0.643 0.625 0.518
Al 0.875 0.357 0.982
Ag 0.250 0.750 0.500
Ag 0.500 0.500 0.000
Au 0.000 0.000 0.000
Au 0.750 0.250 0.500

Compound: Tb5Mo2O12
Source: the Alexandria database
Functional: GGA-PBEsol
Structure: optimized geometry

Results
Total energy in eV per cell: -171.15
Space group: C2/m (12)
Mass density in g/cm3: 7.871
Density of states at the Fermi level in states/eV/cell: 2.7
Crystal system: monoclinic
E_form (uncorrected) in meV/atom: -3136

a b c (Å): 6.748 6.748 7.507
angles (deg): 106.32 106.32 49.90
Fractional positions:
Tb 0.000 0.000 0.000
Tb 0.306 0.306 0.140
Tb 0.315 0.315 0.677
Tb 0.685 0.685 0.323
Tb 0.694 0.694 0.860
Mo 0.218 0.782 0.500
Mo 0.782 0.218 0.500
O 0.000 0.000 0.296
O 0.000 0.000 0.704
O 0.093 0.581 0.418
O 0.097 0.592 0.924
O 0.408 0.903 0.076
O 0.419 0.907 0.582
O 0.499 0.499 0.319
O 0.501 0.501 0.681
O 0.581 0.093 0.418
O 0.592 0.097 0.924
O 0.903 0.408 0.076
O 0.907 0.419 0.582

Compound: Ca5As3HO13
Source: the Alexandria database
Functional: GGA-PBEsol
Structure: optimized geometry

Results
Total energy in eV per cell: -295.02
Space group: P6_3 (173)
Mass density in g/cm3: 3.672
Density of states at the Fermi level in states/eV/cell: 0.0
Crystal system: hexagonal

a b c (Å): 9.796 9.796 6.900
angles (deg): 90.00 90.00 120.00
Fractional positions:
Ca 0.009 0.758 0.000
Ca 0.242 0.251 0.000
Ca 0.251 0.009 0.500
Ca 0.333 0.667 0.252
Ca 0.333 0.667 0.748
Ca 0.667 0.333 0.248
Ca 0.667 0.333 0.752
Ca 0.749 0.991 0.000
Ca 0.758 0.749 0.500
Ca 0.991 0.242 0.500
As 0.029 0.401 0.001
As 0.372 0.971 0.001
As 0.401 0.372 0.501
As 0.599 0.628 0.001
As 0.628 0.029 0.501
As 0.971 0.599 0.501
H 0.000 0.000 0.174
H 0.000 0.000 0.674
O 0.000 0.000 0.032
O 0.000 0.000 0.532
O 0.090 0.337 0.807
O 0.095 0.345 0.198
O 0.134 0.604 0.997
O 0.169 0.670 0.502
O 0.247 0.910 0.807
O 0.251 0.905 0.198
O 0.330 0.499 0.502
O 0.337 0.247 0.307
O 0.345 0.251 0.698
O 0.396 0.530 0.997
O 0.470 0.866 0.997
O 0.499 0.169 0.002
O 0.501 0.831 0.502
O 0.530 0.134 0.497
O 0.604 0.470 0.497
O 0.655 0.749 0.198
O 0.663 0.753 0.807
O 0.670 0.501 0.002
O 0.749 0.095 0.698
O 0.753 0.090 0.307
O 0.831 0.330 0.002
O 0.866 0.396 0.497
O 0.905 0.655 0.698
O 0.910 0.663 0.307

Compound: SbP2Rh
Source: the Alexandria database
Functional: GGA-PBEsol
Structure: optimized geometry

Results
Total energy in eV per cell: -24.68
Space group: R-3m (166)
Mass density in g/cm3: 6.965
Density of states at the Fermi level in states/eV/cell: 1.9
Crystal system: trigonal
E_form (uncorrected) in meV/atom: -100

a b c (Å): 6.143 6.143 6.143
angles (deg): 35.07 35.07 35.07
Fractional positions:
Sb 0.000 0.000 0.000
P 0.233 0.233 0.233
P 0.767 0.767 0.767
Rh 0.500 0.500 0.500

Compound: BeTcTe
Source: the Alexandria database
Functional: GGA-PBEsol
Structure: optimized geometry

Results
Total energy in eV per cell: -18.31
Space group: I4mm (107)
Mass density in g/cm3: 8.898
Density of states at the Fermi level in states/eV/cell: 1.8
Crystal system: tetragonal
E_form (uncorrected) in meV/atom: 162

a b c (Å): 4.746 4.746 4.746
angles (deg): 140.00 140.00 57.85
Fractional positions:
Be 0.000 0.000 0.000
Tc 0.631 0.631 0.000
Te 0.315 0.315 0.000

Compound: LuZnRh2
Source: the Alexandria database
Functional: GGA-PBEsol
Structure: optimized geometry

Results
Total energy in eV per cell: -25.60
Space group: Fm-3m (225)
Energy of formation in eV/atom: -0.718
Mass density in g/cm3: 12.101
Density of states at the Fermi level in states/eV/cell: 2.3
Crystal system: cubic

a b c (Å): 4.424 4.424 4.424
angles (deg): 60.00 60.00 60.00
Fractional positions:
Lu 0.000 0.000 0.000
Zn 0.500 0.500 0.500
Rh 0.250 0.250 0.250
Rh 0.750 0.750 0.750

Compound: AgAsF2
Source: the Alexandria database
Functional: GGA-PBEsol
Structure: optimized geometry

Results
Total energy in eV per cell: -14.50
Space group: Fm-3m (225)
Mass density in g/cm3: 6.901
Density of states at the Fermi level in states/eV/cell: 1.1
Crystal system: cubic
E_form (uncorrected) in meV/atom: -557

a b c (Å): 4.220 4.220 4.220
angles (deg): 60.00 60.00 60.00
Fractional positions:
Ag 0.000 0.000 0.000
As 0.500 0.500 0.500
F 0.250 0.250 0.250
F 0.750 0.750 0.750

Compound: Ta2AsRu
Source: the Alexandria database
Functional: GGA-PBEsol
Structure: optimized geometry

Results
Total energy in eV per cell: -41.13
Space group: Imm2 (44)
Energy of formation in eV/atom: -0.188
Mass density in g/cm3: 14.174
Density of states at the Fermi level in states/eV/cell: 3.9
Crystal system: orthorhombic

a b c (Å): 5.303 5.303 5.303
angles (deg): 144.00 133.45 60.22
Fractional positions:
Ta 0.000 0.000 0.000
Ta 0.739 0.239 0.500
As 0.264 0.764 0.500
Ru 0.493 0.493 0.000

Compound: Li2NbCu
Source: the Alexandria database
Functional: GGA-PBEsol
Structure: optimized geometry

Results
Total energy in eV per cell: -32.45
Space group: I-42d (122)
Energy of formation in eV/atom: 0.716
Mass density in g/cm3: 4.843
Density of states at the Fermi level in states/eV/cell: 5.5
Crystal system: tetragonal

a b c (Å): 5.437 5.437 5.437
angles (deg): 102.34 102.34 124.92
Fractional positions:
Li 0.087 0.125 0.462
Li 0.375 0.913 0.038
Li 0.663 0.625 0.538
Li 0.875 0.337 0.962
Nb 0.250 0.750 0.500
Nb 0.500 0.500 0.000
Cu 0.000 0.000 0.000
Cu 0.750 0.250 0.500